Er4Cr6O19 | GGA+U | relaxed

```
Er4Cr6O19
1.0
6.985 0.000 -2.469
-3.492 6.049 -2.469
0.000 0.000 7.408
Er Cr O
4 6 19
Direct
0.000 0.000 0.681
0.000 0.681 0.000
0.319 0.319 0.319
0.681 0.000 0.000
0.336 0.500 0.836
0.664 0.500 0.164
0.164 0.664 0.500
0.836 0.336 0.500
0.500 0.836 0.336
0.500 0.164 0.664
0.651 0.000 0.651
0.349 0.000 0.349
0.349 0.349 0.000
0.651 0.651 0.000
0.000 0.651 0.651
0.000 0.349 0.349
0.000 0.000 0.000
0.271 0.242 0.597
0.729 0.326 0.972
0.645 0.674 0.403
0.972 0.729 0.326
0.355 0.758 0.028
0.597 0.271 0.242
0.028 0.355 0.758
0.403 0.645 0.674
0.758 0.028 0.355
0.326 0.972 0.729
0.242 0.597 0.271
0.674 0.403 0.645
```

Fermi-level density of states = 6.36 states/eV/cell
VASP energy = -0.2780 hartree per atom